First-principles (GGA-PBEsol) data for crystalline CaAl9Co2 at its relaxed geometry, as listed in Alexandria.

Values from the calculation:
* symmetry: No. 191
* energy of formation: -382 meV per atom

a b c (Å): 7.8431 7.8431 3.8106
angles (deg): 90.00 90.00 120.00
Last column: nearest neighbours and their distance in Å.
Atoms (fractional coordinates):
1 Ca 0.0000 0.0000 0.0000  12 Al 3.46, 2 Ca 3.81
2 Al 0.0000 0.5000 0.0000  2 Co 2.26
3 Al 0.2125 0.4249 0.5000  2 Co 2.52, 4 Al 2.78
4 Al 0.2125 0.7875 0.5000  2 Co 2.52, 4 Al 2.78
5 Al 0.4249 0.2125 0.5000  2 Co 2.52, 4 Al 2.78
6 Al 0.5000 0.0000 0.0000  2 Co 2.26
7 Al 0.5000 0.5000 0.0000  2 Co 2.26
8 Al 0.5751 0.7875 0.5000  2 Co 2.52, 4 Al 2.78
9 Al 0.7875 0.2125 0.5000  2 Co 2.52, 4 Al 2.78
10 Al 0.7875 0.5751 0.5000  2 Co 2.52, 4 Al 2.78
11 Co 0.3333 0.6667 0.0000  9 Al 2.26-2.52
12 Co 0.6667 0.3333 0.0000  9 Al 2.26-2.52